[1]
The following is a DFT calculation (PBE) of a relaxed structure of GdScNO.

Cell: 3.3811 3.3811 4.6256 Å, 90.00 90.00 90.00°
Last column: nearest neighbours and their distance in Å.
Element x y z (fractional)
Gd 0.0000 0.0000 0.0000  2 O 2.31, 4 N 2.39
Sc 0.5000 0.5000 0.5000  2 N 2.31, 4 O 2.39
N 0.5000 0.5000 0.0000  2 Sc 2.31, 4 Gd 2.39
O 0.0000 0.0000 0.5000  2 Gd 2.31, 4 Sc 2.39

Properties
SG = No. 123
energy above the most stable polymorph in this dataset = 0.00 eV per formula unit



[2]
The following is a DFT calculation (PBE) of a relaxed structure of MgNb2Ga4.

Cell: 4.7884 4.7884 13.3611 Å, 90.00 90.00 90.00°
Last column: nearest neighbours and their distance in Å.
Element x y z (fractional)
Mg 0.0000 0.0000 0.0000  6 Ga 2.39-2.64
Mg 0.5000 0.5000 0.5000  6 Ga 2.39-2.64
Nb 0.0000 0.0000 0.4026  1 Nb 2.60, 5 Ga 2.73-2.74
Nb 0.0000 0.0000 0.5974  1 Nb 2.60, 5 Ga 2.73-2.74
Nb 0.5000 0.5000 0.0974  1 Nb 2.60, 5 Ga 2.73-2.74
Nb 0.5000 0.5000 0.9026  1 Nb 2.60, 5 Ga 2.73-2.74
Ga 0.0000 0.0000 0.1975  1 Mg 2.64, 1 Nb 2.74
Ga 0.0000 0.0000 0.8025  1 Mg 2.64, 1 Nb 2.74
Ga 0.0000 0.5000 0.0000  2 Mg 2.39
Ga 0.0000 0.5000 0.5000  2 Mg 2.39
Ga 0.5000 0.0000 0.0000  2 Mg 2.39
Ga 0.5000 0.0000 0.5000  2 Mg 2.39
Ga 0.5000 0.5000 0.3025  1 Mg 2.64, 1 Nb 2.74
Ga 0.5000 0.5000 0.6975  1 Mg 2.64, 1 Nb 2.74

Properties
SG = No. 139
VASP energy = -59.9 eV/cell



[3]
The following is a DFT calculation (PBE) of a relaxed structure of IrCl.

Cell: 2.8889 2.8889 4.3045 Å, 90.00 90.00 120.00°
Last column: nearest neighbours and their distance in Å.
Element x y z (fractional)
Ir 0.0000 0.0000 0.0000  6 Cl 2.72, 6 Ir 2.89
Cl 0.3333 0.6667 0.5000  6 Ir 2.72, 6 Cl 2.89

Properties
SG = No. 187
energy above the most stable polymorph in this dataset = 0.00 eV per formula unit